#i
# Mn3TcHg

Mn3TcHg after structural relaxation (GGA-PBE, Alexandria).

Properties
SG = Pm-3m, No. 221

POSCAR file:
```
Mn3TcHg
1.0
4.696 0.000 0.000
0.000 4.696 0.000
0.000 0.000 4.696
Mn Hg Tc
3 1 1
direct
0.000 0.000 0.500
0.500 0.000 0.000
0.000 0.500 0.000
0.500 0.500 0.500
0.000 0.000 0.000
```


#ii
# Mn3TcHg

Mn3TcHg after structural relaxation (GGA-PBE, Alexandria).

Properties
SG = Pm-3m, No. 221

POSCAR file:
```
Mn3TcHg
1.0
4.923 0.000 0.000
0.000 4.923 0.000
0.000 0.000 4.923
Mn Tc Hg
3 1 1
direct
0.000 0.500 0.000
0.000 0.000 0.500
0.500 0.000 0.000
0.500 0.500 0.500
0.000 0.000 0.000
```


Most stable to least stable, the ends of the list are #i and #ii.


#i
# Mn2HgTe

Mn2HgTe after structural relaxation (GGA-PBE, Alexandria).

Properties
SG = P4/mmm, No. 123

POSCAR file:
```
Mn2HgTe
1.0
-2.339 2.638 -0.527
-2.643 -2.122 1.108
0.876 1.934 5.796
Te Hg Mn
1 1 2
direct
0.500 0.500 0.250
0.500 0.500 0.750
0.000 0.000 0.003
0.000 0.000 0.497
```


#ii
# Mn2HgTe

Mn2HgTe after structural relaxation (GGA-PBE, Alexandria).

Properties
SG = P2/m, No. 10

POSCAR file:
```
Mn2HgTe
1.0
3.842 0.000 0.000
0.000 3.182 -0.148
0.000 0.522 6.887
Mn Hg Te
2 1 1
direct
0.000 0.262 0.545
0.000 0.238 0.955
0.500 0.750 0.750
0.500 0.250 0.250
```


#iii
# Mn2HgTe

Mn2HgTe after structural relaxation (GGA-PBE, Alexandria).

Properties
SG = P4mm, No. 99

POSCAR file:
```
Mn2HgTe
1.0
3.343 0.000 0.000
0.000 3.343 0.000
0.000 0.000 7.458
Te Mn Hg
1 2 1
direct
0.000 0.000 0.408
0.500 0.500 0.232
0.000 0.000 0.036
0.500 0.500 0.825
```


Most stable to least stable, the ends of the list are #iii and #ii.